Computed, not measured: SnI2 after structural relaxation at the PBE level of DFT.

a b c (Å): 7.696 7.696 11.304
angles (deg): 91.67 91.67 33.90
Sites, in units of the cell vectors:
Sn: 0.000 0.000 0.000
Sn: 0.263 0.263 0.313
Sn: 0.737 0.737 0.687
I: 0.090 0.090 0.741
I: 0.360 0.360 0.555
I: 0.360 0.360 0.911
I: 0.640 0.640 0.089
I: 0.640 0.640 0.445
I: 0.910 0.910 0.259

The value obtained for the total energy is -2.8442 eV/atom. Its volume is 41.472 Å³/atom. Its raw formation energy is -477 meV per atom.

=====

Computed, not measured: SnI2 after structural relaxation at the PBE level of DFT.

a b c (Å): 7.606 7.606 4.694
angles (deg): 90.00 90.00 90.00
Sites, in units of the cell vectors:
Sn: 0.000 0.000 0.000
Sn: 0.500 0.500 0.500
I: 0.202 0.202 0.500
I: 0.298 0.702 0.000
I: 0.702 0.298 0.000
I: 0.798 0.798 0.500

The value obtained for the total energy is -2.8370 eV/atom. Its volume is 45.266 Å³/atom. Its raw formation energy is -469 meV per atom.